# 1
Here is crystalline Tb3VO6 at its relaxed geometry from Alexandria. Energies are from PBE with a Hubbard U.

Summary:
Density of states at the Fermi level: 0.00 states/eV per cell
Space-group type: No. 36

abc: 7.0989 7.0989 5.5360
angles: 90.00 90.00 100.81
Last column: nearest neighbours and their distance in Å.
Atoms (fractional coordinates):
Tb  0.1037  0.8963  0.5000  7 O 2.29-2.55
Tb  0.1808  0.4114  0.4470  6 O 2.25-2.43
Tb  0.4114  0.1808  0.9470  6 O 2.25-2.43
Tb  0.5886  0.8192  0.4470  6 O 2.25-2.43
Tb  0.8192  0.5886  0.9470  6 O 2.25-2.43
Tb  0.8963  0.1037  0.0000  7 O 2.29-2.55
V  0.3489  0.6511  0.9380  4 O 1.93-2.08
V  0.6511  0.3489  0.4380  4 O 1.93-2.08
O  0.1039  0.5976  0.7558  1 V 1.98
O  0.1447  0.1722  0.7231  4 Tb 2.25-2.32
O  0.1722  0.1447  0.2231  4 Tb 2.25-2.32
O  0.2775  0.7225  0.2570  1 V 1.93
O  0.4024  0.8961  0.7558  1 V 1.98
O  0.4875  0.5125  0.6297  2 V 2.08-2.28
O  0.5125  0.4875  0.1297  2 V 2.08-2.28
O  0.5976  0.1039  0.2558  1 V 1.98
O  0.7225  0.2775  0.7570  1 V 1.93
O  0.8278  0.8553  0.7231  4 Tb 2.25-2.32
O  0.8553  0.8278  0.2231  4 Tb 2.25-2.32
O  0.8961  0.4024  0.2558  1 V 1.98

=====

# 2
Here is crystalline TbV2O2 at its relaxed geometry from Alexandria. Energies are from PBE with a Hubbard U.

Summary:
Density of states at the Fermi level: 1.85 states/eV per cell
Space-group type: No. 141

abc: 7.6017 7.6017 7.6017
angles: 113.76 113.76 101.21
Last column: nearest neighbours and their distance in Å.
Atoms (fractional coordinates):
Tb  0.0000  0.0000  0.0000  6 O 2.32-2.46
Tb  0.0000  0.0000  0.5000  6 O 2.32-2.46
Tb  0.0000  0.5000  0.0000  6 O 2.32-2.46
Tb  0.5000  0.0000  0.5000  6 O 2.32-2.46
V  0.1741  0.6307  0.5434  1 O 1.79
V  0.3693  0.4127  0.5434  1 O 1.79
V  0.3693  0.8259  0.9566  1 O 1.79
V  0.4127  0.3693  0.0434  1 O 1.79
V  0.5873  0.6307  0.9566  1 O 1.79
V  0.6307  0.1741  0.0434  1 O 1.79
V  0.6307  0.5873  0.4566  1 O 1.79
V  0.8259  0.3693  0.4566  1 O 1.79
O  0.1327  0.2265  0.9061  1 V 1.79
O  0.1796  0.7735  0.4061  1 V 1.79
O  0.2265  0.1327  0.4061  1 V 1.79
O  0.2265  0.8204  0.0939  1 V 1.79
O  0.7735  0.1796  0.9061  1 V 1.79
O  0.7735  0.8673  0.5939  1 V 1.79
O  0.8204  0.2265  0.5939  1 V 1.79
O  0.8673  0.7735  0.0939  1 V 1.79

=====

# 3
Here is crystalline Tb3VO6 at its relaxed geometry from Alexandria. Energies are from PBE with a Hubbard U.

Summary:
Density of states at the Fermi level: 6.43 states/eV per cell
Space-group type: No. 148

abc: 6.5752 6.5752 6.5752
angles: 92.62 92.62 92.62
Last column: nearest neighbours and their distance in Å.
Atoms (fractional coordinates):
Tb  0.0646  0.5722  0.7553  6 O 2.25-2.34
Tb  0.2447  0.9354  0.4278  6 O 2.25-2.34
Tb  0.4278  0.2447  0.9354  6 O 2.25-2.34
Tb  0.5722  0.7553  0.0646  6 O 2.25-2.34
Tb  0.7553  0.0646  0.5722  6 O 2.25-2.34
Tb  0.9354  0.4278  0.2447  6 O 2.25-2.34
V  0.0000  0.0000  0.0000  6 O 2.07
V  0.5000  0.5000  0.5000  6 O 2.11
O  0.0405  0.9118  0.6996  1 V 2.07, 3 Tb 2.29-2.31
O  0.0882  0.3004  0.9595  1 V 2.07, 3 Tb 2.29-2.31
O  0.1981  0.5805  0.4321  1 V 2.11, 3 Tb 2.25-2.34
O  0.3004  0.9595  0.0882  1 V 2.07, 3 Tb 2.29-2.31
O  0.4195  0.5679  0.8019  1 V 2.11, 3 Tb 2.25-2.34
O  0.4321  0.1981  0.5805  1 V 2.11, 3 Tb 2.25-2.34
O  0.5679  0.8019  0.4195  1 V 2.11, 3 Tb 2.25-2.34
O  0.5805  0.4321  0.1981  1 V 2.11, 3 Tb 2.25-2.34
O  0.6996  0.0405  0.9118  1 V 2.07, 3 Tb 2.29-2.31
O  0.8019  0.4195  0.5679  1 V 2.11, 3 Tb 2.25-2.34
O  0.9118  0.6996  0.0405  1 V 2.07, 3 Tb 2.29-2.31
O  0.9595  0.0882  0.3004  1 V 2.07, 3 Tb 2.29-2.31

=====

# 4
Here is crystalline Tb3V5O12 at its relaxed geometry from Alexandria. Energies are from PBE with a Hubbard U.

Summary:
Density of states at the Fermi level: 24.93 states/eV per cell
Space-group type: No. 230

abc: 10.9309 10.9309 10.9309
angles: 109.47 109.47 109.47
Last column: nearest neighbours and their distance in Å.
Atoms (fractional coordinates):
Tb  0.1250  0.2500  0.3750  8 O 2.39-2.47
Tb  0.1250  0.3750  0.7500  8 O 2.39-2.47
Tb  0.2500  0.3750  0.1250  8 O 2.39-2.47
Tb  0.2500  0.8750  0.6250  8 O 2.39-2.47
Tb  0.3750  0.1250  0.2500  8 O 2.39-2.47
Tb  0.3750  0.7500  0.1250  8 O 2.39-2.47
Tb  0.6250  0.2500  0.8750  8 O 2.39-2.47
Tb  0.6250  0.8750  0.7500  8 O 2.39-2.47
Tb  0.7500  0.1250  0.3750  8 O 2.39-2.47
Tb  0.7500  0.6250  0.8750  8 O 2.39-2.47
Tb  0.8750  0.6250  0.2500  8 O 2.39-2.47
Tb  0.8750  0.7500  0.6250  8 O 2.39-2.47
V  0.0000  0.0000  0.0000  6 O 2.09
V  0.0000  0.0000  0.5000  6 O 2.09
V  0.0000  0.5000  0.0000  6 O 2.09
V  0.0000  0.5000  0.5000  6 O 2.09
V  0.1250  0.7500  0.8750  4 O 1.89
V  0.1250  0.8750  0.2500  4 O 1.89
V  0.2500  0.1250  0.8750  4 O 1.89
V  0.2500  0.6250  0.3750  4 O 1.89
V  0.3750  0.2500  0.6250  4 O 1.89
V  0.3750  0.6250  0.7500  4 O 1.89
V  0.5000  0.0000  0.0000  6 O 2.09
V  0.5000  0.0000  0.5000  6 O 2.09
V  0.5000  0.5000  0.0000  6 O 2.09
V  0.5000  0.5000  0.5000  6 O 2.09
V  0.6250  0.3750  0.2500  4 O 1.89
V  0.6250  0.7500  0.3750  4 O 1.89
V  0.7500  0.3750  0.6250  4 O 1.89
V  0.7500  0.8750  0.1250  4 O 1.89
V  0.8750  0.1250  0.7500  4 O 1.89
V  0.8750  0.2500  0.1250  4 O 1.89
O  0.0316  0.2110  0.1263  2 V 1.89-2.09
O  0.0316  0.3206  0.9053  2 V 1.89-2.09
O  0.0846  0.7110  0.6794  2 V 1.89-2.09
O  0.0846  0.8737  0.4053  2 V 1.89-2.09
O  0.0947  0.6263  0.4154  2 V 1.89-2.09
O  0.0947  0.9684  0.6794  2 V 1.89-2.09
O  0.1263  0.0316  0.2110  2 V 1.89-2.09
O  0.1263  0.5947  0.9154  2 V 1.89-2.09
O  0.1794  0.2110  0.5846  2 V 1.89-2.09
O  0.1794  0.4684  0.5947  2 V 1.89-2.09
O  0.2110  0.1263  0.0316  2 V 1.89-2.09
O  0.2110  0.5846  0.1794  2 V 1.89-2.09
O  0.2890  0.3206  0.9154  2 V 1.89-2.09
O  0.2890  0.4684  0.3737  2 V 1.89-2.09
O  0.3206  0.9053  0.0316  2 V 1.89-2.09
O  0.3206  0.9154  0.2890  2 V 1.89-2.09
O  0.3737  0.2890  0.4684  2 V 1.89-2.09
O  0.3737  0.5846  0.9053  2 V 1.89-2.09
O  0.4053  0.0846  0.8737  2 V 1.89-2.09
O  0.4053  0.8206  0.5316  2 V 1.89-2.09
O  0.4154  0.0947  0.6263  2 V 1.89-2.09
O  0.4154  0.8206  0.7890  2 V 1.89-2.09
O  0.4684  0.3737  0.2890  2 V 1.89-2.09
O  0.4684  0.5947  0.1794  2 V 1.89-2.09
O  0.5316  0.4053  0.8206  2 V 1.89-2.09
O  0.5316  0.6263  0.7110  2 V 1.89-2.09
O  0.5846  0.1794  0.2110  2 V 1.89-2.09
O  0.5846  0.9053  0.3737  2 V 1.89-2.09
O  0.5947  0.1794  0.4684  2 V 1.89-2.09
O  0.5947  0.9154  0.1263  2 V 1.89-2.09
O  0.6263  0.4154  0.0947  2 V 1.89-2.09
O  0.6263  0.7110  0.5316  2 V 1.89-2.09
O  0.6794  0.0846  0.7110  2 V 1.89-2.09
O  0.6794  0.0947  0.9684  2 V 1.89-2.09
O  0.7110  0.5316  0.6263  2 V 1.89-2.09
O  0.7110  0.6794  0.0846  2 V 1.89-2.09
O  0.7890  0.4154  0.8206  2 V 1.89-2.09
O  0.7890  0.8737  0.9684  2 V 1.89-2.09
O  0.8206  0.5316  0.4053  2 V 1.89-2.09
O  0.8206  0.7890  0.4154  2 V 1.89-2.09
O  0.8737  0.4053  0.0846  2 V 1.89-2.09
O  0.8737  0.9684  0.7890  2 V 1.89-2.09
O  0.9053  0.0316  0.3206  2 V 1.89-2.09
O  0.9053  0.3737  0.5846  2 V 1.89-2.09
O  0.9154  0.1263  0.5947  2 V 1.89-2.09
O  0.9154  0.2890  0.3206  2 V 1.89-2.09
O  0.9684  0.6794  0.0947  2 V 1.89-2.09
O  0.9684  0.7890  0.8737  2 V 1.89-2.09

=====

Computed calculated total energy (eV per atom) in order:
-8.241 -6.798 -8.286 -8.084